Run i
Below is TaCo2Re after structural relaxation, with properties calculated at the PBE-GGA level.

Geometry as POSCAR:
```
TaCo2Re
1.0
2.7167 0.0000 0.0000
-1.3583 2.3527 0.0000
0.0000 0.0000 25.8362
Ta Co Re
3 6 3
Direct
0.0000 0.0000 0.0000
0.3333 0.6667 0.6667
0.6667 0.3333 0.3333
0.0000 0.0000 0.2466
0.0000 0.0000 0.7534
0.3333 0.6667 0.4200
0.3333 0.6667 0.9133
0.6667 0.3333 0.0867
0.6667 0.3333 0.5800
0.0000 0.0000 0.5000
0.3333 0.6667 0.1667
0.6667 0.3333 0.8333
```

M_tot	0.000	μB per formula unit
space-group type	No. 166

---

Run ii
Below is TaCo2Re after structural relaxation, with properties calculated at the PBE-GGA level.

Geometry as POSCAR:
```
TaCo2Re
1.0
3.1190 0.0000 0.0000
0.0000 3.1190 0.0000
0.0000 0.0000 5.5786
Ta Co Re
1 2 1
Direct
0.0000 0.0000 0.0000
0.0000 0.0000 0.4763
0.5000 0.5000 0.2328
0.5000 0.5000 0.6899
```

M_tot	0.316	μB per formula unit
space-group type	No. 99

---

Order from most stable to least stable according to the calculation: run ii, run i